(1)
RbIrOs3 | GGA-PBE | optimized geometry

```
RbIrOs3
1.0
4.848 0.000 0.000
0.000 4.848 0.000
0.000 0.000 4.848
Rb Ir Os
1 1 3
direct
0.000 0.000 0.000 Rb
0.500 0.500 0.500 Ir
0.000 0.500 0.500 Os
0.500 0.000 0.500 Os
0.500 0.500 0.000 Os
```

Properties
The electronic total energy comes out at -6.477 eV per atom. For the distance to the lowest polymorph of the same formula, the calculation gives 0 meV per atom. The total magnetization comes out at 0.002 μB/f.u. For the formation energy, the calculation gives 2226 meV per atom.

=====

(2)
RbIr2Os | GGA-PBE | optimized geometry

```
RbIr2Os
1.0
-3.851 3.851 3.619
3.851 -3.851 3.619
3.851 3.851 -3.619
Rb Ir Os
2 4 2
direct
0.000 0.000 0.000 Rb
0.750 0.250 0.500 Rb
0.237 0.625 0.112 Ir
0.375 0.487 0.612 Ir
0.513 0.125 0.888 Ir
0.875 0.763 0.388 Ir
0.250 0.750 0.500 Os
0.500 0.500 0.000 Os
```

Properties
The electronic total energy comes out at -6.184 eV per atom. For the distance to the lowest polymorph of the same formula, the calculation gives 0 meV per atom. The total magnetization comes out at 0.950 μB/f.u. For the formation energy, the calculation gives 1295 meV per atom.

=====

(3)
RbIr2Os | GGA-PBE | optimized geometry

```
RbIr2Os
1.0
0.000 3.287 3.287
3.287 0.000 3.287
3.287 3.287 0.000
Rb Ir Os
1 2 1
direct
0.000 0.000 0.000 Rb
0.250 0.250 0.250 Ir
0.750 0.750 0.750 Ir
0.500 0.500 0.500 Os
```

Properties
The electronic total energy comes out at -5.732 eV per atom. For the distance to the lowest polymorph of the same formula, the calculation gives 452 meV per atom. The total magnetization comes out at 1.147 μB/f.u. For the formation energy, the calculation gives 1748 meV per atom.

=====

(4)
RbIrOs3 | GGA-PBE | optimized geometry

```
RbIrOs3
1.0
4.607 0.000 0.000
0.000 4.607 0.000
0.000 0.000 4.607
Rb Ir Os
1 1 3
direct
0.000 0.000 0.000 Rb
0.500 0.500 0.500 Ir
0.000 0.000 0.500 Os
0.000 0.500 0.000 Os
0.500 0.000 0.000 Os
```

Properties
The electronic total energy comes out at -4.364 eV per atom. For the distance to the lowest polymorph of the same formula, the calculation gives 2113 meV per atom. The total magnetization comes out at 0.000 μB/f.u. For the formation energy, the calculation gives 4339 meV per atom.

=====

(5)
RbScIr2Os | GGA-PBE | optimized geometry

```
RbScIr2Os
1.0
4.894 0.000 0.000
0.000 4.894 0.000
0.000 0.000 5.004
Rb Sc Ir Os
1 1 2 1
direct
0.000 0.000 0.000 Rb
0.500 0.500 0.000 Sc
0.000 0.500 0.500 Ir
0.500 0.000 0.500 Ir
0.500 0.500 0.500 Os
```

Properties
The electronic total energy comes out at -6.470 eV per atom. The total magnetization comes out at 0.000 μB/f.u. For the formation energy, the calculation gives 781 meV per atom.

=====

(6)
Re2IrOs | GGA-PBE | optimized geometry

```
Re2IrOs
1.0
3.286 0.000 0.000
0.000 3.286 0.000
0.000 0.000 5.577
Re Ir Os
2 1 1
direct
0.000 0.000 0.000 Re
0.500 0.500 0.268 Re
0.000 0.000 0.509 Ir
0.500 0.500 0.747 Os
```

Properties
The electronic total energy comes out at -10.856 eV per atom. The total magnetization comes out at 0.352 μB/f.u. For the formation energy, the calculation gives 391 meV per atom.

=====

(7)
Re2Ir3Os3 | GGA-PBE | optimized geometry

```
Re2Ir3Os3
1.0
3.658 2.112 2.604
-3.658 2.112 2.604
0.000 -4.223 2.604
Re Ir Os
2 3 3
direct
0.248 0.248 0.248 Re
0.752 0.752 0.752 Re
0.000 0.288 0.712 Ir
0.288 0.712 0.000 Ir
0.712 0.000 0.288 Ir
0.204 0.796 0.500 Os
0.500 0.204 0.796 Os
0.796 0.500 0.204 Os
```

Properties
The electronic total energy comes out at -10.414 eV per atom. The total magnetization comes out at 0.000 μB/f.u. For the formation energy, the calculation gives 232 meV per atom.

=====

(8)
Re2IrOs | GGA-PBE | optimized geometry

```
Re2IrOs
1.0
2.749 0.000 0.000
0.000 3.886 0.000
-0.015 0.000 5.493
Re Ir Os
2 1 1
direct
0.001 0.000 0.259 Re
0.999 0.000 0.741 Re
0.500 0.500 0.000 Ir
0.500 0.500 0.500 Os
```

Properties
The electronic total energy comes out at -11.305 eV per atom. The total magnetization comes out at 0.000 μB/f.u. For the formation energy, the calculation gives -58 meV per atom.

=====

(9)
Re2IrOs | GGA-PBE | optimized geometry

```
Re2IrOs
1.0
3.874 0.000 0.000
0.000 3.874 0.000
0.000 0.000 3.901
Re Ir Os
2 1 1
direct
0.000 0.500 0.000 Re
0.500 0.000 0.000 Re
0.000 0.000 0.500 Ir
0.500 0.500 0.500 Os
```

Properties
The electronic total energy comes out at -11.315 eV per atom. The total magnetization comes out at 0.000 μB/f.u. For the formation energy, the calculation gives -68 meV per atom.

=====

(10)
Re2IrOs | GGA-PBE | optimized geometry

```
Re2IrOs
1.0
2.744 -3.889 0.000
2.744 3.889 0.000
0.000 0.000 2.744
Re Ir Os
2 1 1
direct
0.000 0.500 0.000 Re
0.500 0.000 0.000 Re
0.000 0.000 0.500 Ir
0.500 0.500 0.500 Os
```

Properties
The electronic total energy comes out at -11.306 eV per atom. The total magnetization comes out at 0.000 μB/f.u. For the formation energy, the calculation gives -59 meV per atom.

=====

(11)
Re2IrOs | GGA-PBE | optimized geometry

```
Re2IrOs
1.0
0.000 3.108 3.108
3.108 0.000 3.108
3.108 3.108 0.000
Re Ir Os
2 1 1
direct
0.000 0.000 0.000 Re
0.250 0.250 0.250 Re
0.750 0.750 0.750 Ir
0.500 0.500 0.500 Os
```

Properties
The electronic total energy comes out at -10.741 eV per atom. The total magnetization comes out at 0.000 μB/f.u. For the formation energy, the calculation gives 506 meV per atom.

=====

(12)
Re2IrOs | GGA-PBE | optimized geometry

```
Re2IrOs
1.0
1.374 0.793 8.975
-1.374 0.793 8.975
0.000 -1.586 8.975
Re Ir Os
2 1 1
direct
0.250 0.250 0.250 Re
0.750 0.750 0.750 Re
0.000 0.000 0.000 Ir
0.500 0.500 0.500 Os
```

Properties
The electronic total energy comes out at -11.264 eV per atom. The total magnetization comes out at 0.000 μB/f.u. For the formation energy, the calculation gives -17 meV per atom.

=====

(13)
ReIrOs3 | GGA-PBE | optimized geometry

```
ReIrOs3
1.0
4.640 0.000 0.000
0.000 4.640 0.000
0.000 0.000 4.640
Re Ir Os
1 1 3
direct
0.000 0.000 0.000 Re
0.500 0.500 0.500 Ir
0.000 0.500 0.500 Os
0.500 0.000 0.500 Os
0.500 0.500 0.000 Os
```

Properties
The electronic total energy comes out at -8.163 eV per atom. For the distance to the lowest polymorph of the same formula, the calculation gives 2785 meV per atom. The total magnetization comes out at 2.766 μB/f.u. For the formation energy, the calculation gives 2837 meV per atom.

=====

(14)
ReIrOs3 | GGA-PBE | optimized geometry

```
ReIrOs3
1.0
6.120 0.000 0.000
0.000 3.869 0.000
-0.016 0.000 6.124
Re Ir Os
2 2 6
direct
0.051 0.250 0.347 Re
0.949 0.750 0.653 Re
0.449 0.250 0.154 Ir
0.551 0.750 0.846 Ir
0.143 0.750 0.055 Os
0.246 0.250 0.747 Os
0.348 0.750 0.451 Os
0.652 0.250 0.549 Os
0.754 0.750 0.253 Os
0.857 0.250 0.945 Os
```

Properties
The electronic total energy comes out at -10.948 eV per atom. For the distance to the lowest polymorph of the same formula, the calculation gives 0 meV per atom. The total magnetization comes out at 0.000 μB/f.u. For the formation energy, the calculation gives 52 meV per atom.

=====

(15)
ReIr4Os3 | GGA-PBE | optimized geometry

```
ReIr4Os3
1.0
6.153 -2.213 0.000
6.153 2.213 0.000
-1.810 0.000 4.405
Re Ir Os
1 4 3
direct
0.000 0.000 0.000 Re
0.133 0.133 0.569 Ir
0.252 0.252 0.176 Ir
0.748 0.748 0.824 Ir
0.867 0.867 0.431 Ir
0.364 0.364 0.794 Os
0.500 0.500 0.500 Os
0.636 0.636 0.206 Os
```

Properties
The electronic total energy comes out at -9.865 eV per atom. The total magnetization comes out at 0.000 μB/f.u. For the formation energy, the calculation gives 333 meV per atom.

=====

(16)
Re2IrOs4 | GGA-PBE | optimized geometry

```
Re2IrOs4
1.0
5.485 0.000 0.000
1.358 5.954 0.000
0.005 2.491 6.227
Re Ir Os
4 2 8
direct
0.000 0.000 0.000 Re
0.071 0.716 0.432 Re
0.433 0.279 0.575 Re
0.857 0.568 0.148 Re
0.144 0.428 0.860 Ir
0.572 0.709 0.432 Ir
0.216 0.141 0.291 Os
0.284 0.863 0.718 Os
0.357 0.572 0.147 Os
0.503 0.999 0.002 Os
0.644 0.427 0.862 Os
0.716 0.145 0.287 Os
0.786 0.856 0.720 Os
0.930 0.284 0.575 Os
```

Properties
The electronic total energy comes out at -11.198 eV per atom. The total magnetization comes out at 0.000 μB/f.u. For the formation energy, the calculation gives 41 meV per atom.

=====

(17)
Re2IrOs6 | GGA-PBE | optimized geometry

```
Re2IrOs6
1.0
6.674 0.000 0.000
0.000 2.742 0.000
-1.661 0.000 7.205
Re Ir Os
2 1 6
direct
0.191 0.000 0.469 Re
0.809 0.000 0.531 Re
0.500 0.000 0.000 Ir
0.143 0.500 0.782 Os
0.162 0.000 0.119 Os
0.477 0.500 0.319 Os
0.523 0.500 0.681 Os
0.838 0.000 0.881 Os
0.857 0.500 0.218 Os
```

Properties
The electronic total energy comes out at -11.128 eV per atom. The total magnetization comes out at 0.000 μB/f.u. For the formation energy, the calculation gives 110 meV per atom.

=====

(18)
ReIrOs3 | GGA-PBE | optimized geometry

```
ReIrOs3
1.0
4.641 0.000 0.000
0.000 4.641 0.000
0.000 0.000 4.641
Re Ir Os
1 1 3
direct
0.000 0.000 0.000 Re
0.500 0.500 0.500 Ir
0.000 0.000 0.500 Os
0.000 0.500 0.000 Os
0.500 0.000 0.000 Os
```

Properties
The electronic total energy comes out at -8.406 eV per atom. For the distance to the lowest polymorph of the same formula, the calculation gives 2542 meV per atom. The total magnetization comes out at 1.945 μB/f.u. For the formation energy, the calculation gives 2593 meV per atom.

=====

(19)
Re2IrOs | GGA-PBE | optimized geometry

```
Re2IrOs
1.0
2.761 -2.755 0.000
2.761 2.755 0.000
-2.758 0.000 3.853
Re Ir Os
2 1 1
direct
0.000 0.000 0.000 Re
0.749 0.251 0.500 Re
0.249 0.751 0.500 Ir
0.498 0.502 0.000 Os
```

Properties
The electronic total energy comes out at -11.289 eV per atom. The total magnetization comes out at 0.000 μB/f.u. For the formation energy, the calculation gives -43 meV per atom.

=====

(20)
Re2IrOs | GGA-PBE | optimized geometry

```
Re2IrOs
1.0
-1.945 1.945 3.871
1.945 -1.945 3.871
1.945 1.945 -3.871
Re Ir Os
2 1 1
direct
0.250 0.750 0.500 Re
0.750 0.250 0.500 Re
0.000 0.000 0.000 Ir
0.500 0.500 0.000 Os
```

Properties
The electronic total energy comes out at -11.308 eV per atom. The total magnetization comes out at 0.000 μB/f.u. For the formation energy, the calculation gives -62 meV per atom.

=====

(21)
Re2IrOs | GGA-PBE | optimized geometry

```
Re2IrOs
1.0
1.375 0.794 8.968
-1.375 0.794 8.968
0.000 -1.588 8.968
Re Ir Os
2 1 1
direct
0.000 0.000 0.000 Re
0.248 0.248 0.248 Re
0.499 0.499 0.499 Ir
0.749 0.749 0.749 Os
```

Properties
The electronic total energy comes out at -11.246 eV per atom. The total magnetization comes out at 0.000 μB/f.u. For the formation energy, the calculation gives 1 meV per atom.

=====

(22)
Re2IrOs | GGA-PBE | optimized geometry

```
Re2IrOs
1.0
4.746 0.000 0.000
0.000 2.743 0.000
-1.594 0.000 4.505
Re Ir Os
2 1 1
direct
0.000 0.000 0.000 Re
0.500 0.500 0.000 Re
0.000 0.500 0.500 Ir
0.500 0.000 0.500 Os
```

Properties
The electronic total energy comes out at -11.257 eV per atom. The total magnetization comes out at 0.000 μB/f.u. For the formation energy, the calculation gives -10 meV per atom.

=====

(23)
Re2Ir4Os3 | GGA-PBE | optimized geometry

```
Re2Ir4Os3
1.0
4.792 0.000 0.000
0.010 7.052 0.000
2.376 2.698 7.719
Re Ir Os
4 8 6
direct
0.113 0.362 0.111 Re
0.333 0.916 0.665 Re
0.667 0.084 0.335 Re
0.887 0.638 0.889 Re
0.001 0.581 0.334 Ir
0.222 0.976 0.219 Ir
0.332 0.750 0.000 Ir
0.447 0.698 0.441 Ir
0.553 0.302 0.559 Ir
0.668 0.250 0.000 Ir
0.778 0.024 0.781 Ir
0.999 0.419 0.666 Ir
0.111 0.193 0.443 Os
0.219 0.140 0.889 Os
0.444 0.530 0.778 Os
0.556 0.470 0.222 Os
0.781 0.860 0.111 Os
0.889 0.807 0.557 Os
```

Properties
The electronic total energy comes out at -10.539 eV per atom. The total magnetization comes out at 0.000 μB/f.u. For the formation energy, the calculation gives -91 meV per atom.

=====

(24)
Re2Ir2Os5 | GGA-PBE | optimized geometry

```
Re2Ir2Os5
1.0
8.740 -2.292 0.000
8.740 2.292 0.000
-3.145 0.000 6.724
Re Ir Os
4 4 10
direct
0.166 0.166 0.122 Re
0.336 0.333 0.291 Re
0.667 0.664 0.709 Re
0.834 0.834 0.878 Re
0.412 0.087 0.561 Ir
0.486 0.514 0.500 Ir
0.913 0.588 0.439 Ir
0.989 0.011 0.000 Ir
0.063 0.084 0.734 Os
0.232 0.268 0.899 Os
0.305 0.501 0.723 Os
0.416 0.437 0.087 Os
0.499 0.695 0.277 Os
0.563 0.584 0.913 Os
0.732 0.768 0.101 Os
0.806 0.002 0.584 Os
0.916 0.937 0.266 Os
0.998 0.194 0.416 Os
```

Properties
The electronic total energy comes out at -10.722 eV per atom. The total magnetization comes out at 0.000 μB/f.u. For the formation energy, the calculation gives 252 meV per atom.

=====

(25)
Re2IrOs | GGA-PBE | optimized geometry

```
Re2IrOs
1.0
5.524 0.000 0.000
2.754 4.815 0.000
1.376 2.406 8.781
Re Ir Os
8 4 4
direct
0.080 0.024 0.128 Re
0.083 0.772 0.623 Re
0.416 0.229 0.376 Re
0.417 0.976 0.873 Re
0.583 0.024 0.127 Re
0.584 0.771 0.624 Re
0.917 0.228 0.377 Re
0.920 0.976 0.872 Re
0.082 0.522 0.124 Ir
0.083 0.271 0.626 Ir
0.917 0.729 0.374 Ir
0.918 0.478 0.876 Ir
0.414 0.482 0.874 Os
0.414 0.734 0.374 Os
0.586 0.266 0.626 Os
0.586 0.518 0.126 Os
```

Properties
The electronic total energy comes out at -11.418 eV per atom. The total magnetization comes out at 0.000 μB/f.u. For the formation energy, the calculation gives -171 meV per atom.